(1)
Tc3SN after structural relaxation. Source: Alexandria via LeMat-Bulk, functional PBE. Values from VASP.

Quantum ESPRESSO input file:
```
&SYSTEM
  ibrav = 0, nat = 5, ntyp = 3
/
ATOMIC_SPECIES
S 32.06 S.upf
Tc 98.00 Tc.upf
N 14.01 N.upf
CELL_PARAMETERS angstrom
-1.724 0.553 3.634
3.321 -1.486 1.802
1.575 3.737 0.178
ATOMIC_POSITIONS angstrom
S 1.586 1.402 2.807
Tc 1.660 -0.743 0.901
Tc 0.788 1.869 0.089
Tc -0.862 0.277 1.817
N 0.000 0.000 0.000
```

- Crystal system: cubic
- Space-group type: No. 221
- E: -8.257 eV per atom
- Energy relative to the lowest polymorph listed for this composition: 0.0 meV/atom

=====

(2)
Pa2FeGe after structural relaxation. Source: Alexandria via LeMat-Bulk, functional PBE. Values from VASP.

Quantum ESPRESSO input file:
```
&SYSTEM
  ibrav = 0, nat = 8, ntyp = 3
/
ATOMIC_SPECIES
Pa 231.04 Pa.upf
Fe 55.84 Fe.upf
Ge 72.64 Ge.upf
CELL_PARAMETERS angstrom
-0.039 3.612 0.522
-5.167 0.363 -2.893
-1.215 -1.149 7.857
ATOMIC_POSITIONS angstrom
Pa -1.548 2.335 2.866
Pa -4.872 0.491 2.620
Pa -4.146 1.137 -1.792
Pa -2.273 1.689 7.278
Fe -2.042 0.785 0.797
Fe -4.378 2.041 4.689
Ge -3.778 2.608 0.815
Ge -2.642 0.218 4.671
```

- Crystal system: monoclinic
- Space-group type: No. 11
- E: -8.407 eV per atom
- Formation energy: -9.0 kcal/mol of atoms
- Energy relative to the lowest polymorph listed for this composition: 0.0 meV/atom

=====

(3)
Er4InRh2Au after structural relaxation. Source: Alexandria via LeMat-Bulk, functional PBE. Values from VASP.

Quantum ESPRESSO input file:
```
&SYSTEM
  ibrav = 0, nat = 8, ntyp = 4
/
ATOMIC_SPECIES
Er 167.26 Er.upf
In 114.82 In.upf
Rh 102.91 Rh.upf
Au 196.97 Au.upf
CELL_PARAMETERS angstrom
-4.525 -1.066 1.778
-2.887 -3.300 -2.357
0.722 -7.475 4.325
ATOMIC_POSITIONS angstrom
Er -2.186 -8.103 3.512
Er -6.185 -6.678 1.158
Er -0.505 -5.162 2.589
Er -4.503 -3.736 0.235
In 0.000 0.000 0.000
Rh -4.966 -8.976 2.882
Rh -1.723 -2.864 0.864
Au -3.345 -5.920 1.873
```

- Crystal system: trigonal
- Space-group type: No. 166
- E: -5.604 eV per atom
- Formation energy: -16.9 kcal/mol of atoms

=====

(4)
Be2CrIr after structural relaxation. Source: Alexandria via LeMat-Bulk, functional PBE. Values from VASP.

Quantum ESPRESSO input file:
```
&SYSTEM
  ibrav = 0, nat = 4, ntyp = 3
/
ATOMIC_SPECIES
Cr 52.00 Cr.upf
Ir 192.22 Ir.upf
Be 9.01 Be.upf
CELL_PARAMETERS angstrom
-2.439 0.542 -3.086
-2.154 -3.129 1.159
0.712 2.957 2.509
ATOMIC_POSITIONS angstrom
Cr -2.297 -1.293 -0.965
Ir -2.012 1.101 -0.768
Be -1.727 3.499 -0.577
Be -1.869 -0.731 1.350
```

- Crystal system: tetragonal
- Space-group type: No. 119
- E: -6.686 eV per atom
- Formation energy: -4.7 kcal/mol of atoms